(1)
Ac3RhPbAu, optimized geometry, DFT PBE-GGA; energy relative to the elements = -0.5776 eV/atom
1.0
9.0415 0.0000 0.0000
0.0000 4.6263 0.0000
-4.1490 0.0000 9.2987
Ac Rh Pb Au
6 2 2 2
Cartesian
0.8694 1.1566 1.3045 Ac
0.5752 3.4697 4.4737 Ac
-1.0238 3.4697 8.0856 Ac
5.9164 1.1566 1.2131 Ac
4.3174 1.1566 4.8250 Ac
4.0232 3.4697 7.9942 Ac
-2.9750 1.1566 7.6214 Rh
7.8675 3.4697 1.6774 Rh
3.3904 3.4697 2.3361 Pb
1.5022 1.1566 6.9626 Pb
-1.5021 1.1566 3.8902 Au
6.3947 3.4697 5.4085 Au

---

(2)
SrScGa2Au2, optimized geometry, DFT PBE-GGA; energy relative to the elements = -0.7359 eV/atom
1.0
4.5384 0.0000 0.0000
-2.2692 3.9303 0.0000
0.0000 0.0000 7.4314
Sr Sc Ga Au
1 1 2 2
Cartesian
0.0000 0.0000 0.0000 Sr
0.0000 0.0000 3.7157 Sc
0.0000 2.6202 2.2645 Ga
2.2692 1.3101 5.1668 Ga
0.0000 2.6202 5.1449 Au
2.2692 1.3101 2.2865 Au

---

What is the formula in the first record? Ac3RhPbAu

---

energy relative to the elements of number 1 (Ac3RhPbAu)? -0.5776 eV/atom